Dy2Zn2Cu: optimized geometry, PBE-GGA.

Unit cell a=5.421 b=5.421 c=10.559 alpha=113.59 beta=113.59 gamma=48.23
Atoms (fractional coordinates):
Dy  0.014  0.014  0.335
Dy  0.197  0.197  0.111
Dy  0.803  0.803  0.889
Dy  0.986  0.986  0.665
Zn  0.354  0.354  0.436
Zn  0.491  0.491  0.116
Zn  0.509  0.509  0.884
Zn  0.646  0.646  0.564
Cu  0.275  0.275  0.653
Cu  0.725  0.725  0.347

Properties
N(E_F) = 8.114 states/eV/cell
energy of formation = -0.3037 eV/atom
volume = 208.0 Å³ per cell
crystal system = monoclinic

Dy6Zn5Cu: optimized geometry, PBE-GGA.

Unit cell a=7.932 b=7.932 c=7.129 alpha=90.00 beta=90.00 gamma=143.17
Atoms (fractional coordinates):
Dy  0.000  0.000  0.247
Dy  0.000  0.000  0.753
Dy  0.335  0.665  0.249
Dy  0.335  0.665  0.751
Dy  0.665  0.335  0.249
Dy  0.665  0.335  0.751
Zn  0.168  0.832  0.500
Zn  0.171  0.829  0.000
Zn  0.500  0.500  0.500
Zn  0.829  0.171  0.000
Zn  0.832  0.168  0.500
Cu  0.500  0.500  0.000

Properties
N(E_F) = 12.762 states/eV/cell
energy of formation = -0.3202 eV/atom
volume = 268.9 Å³ per cell
crystal system = orthorhombic